# AlSi2Sb

AlSi2Sb after structural relaxation (PBE, the Alexandria database).

Unit cell a=3.1479 b=3.1479 c=7.7571 alpha=90.00 beta=90.00 gamma=100.21
Sites, in units of the cell vectors:
1 Al 0.0000 0.0000 0.0000
2 Si 0.0000 0.0000 0.3988
3 Si 0.5000 0.5000 0.2171
4 Sb 0.5000 0.5000 0.7016

## Properties
As for the crystal system: orthorhombic. The calculation puts the density of states at the Fermi level at 1.5 states/eV/cell. The value obtained for the total energy is -4.296 eV per atom. The calculation puts the formation energy without anion corrections at 0.3817 eV per atom. The polymorph energy (0 for the lowest one) comes out at 0.895 eV/f.u. The value obtained for the spin magnetization is 0.00 μB per formula unit.